The following is a GGA-PBE calculation of a geometry-optimized Ca5HoIn6 structure, from Alexandria.

The structure belongs to space group C2/m (No. 12); the cell edges are 16.9792, 7.7671 and 5.3898 Å and the angles 90.00°, 107.97° and 90.00°. The distinct sites, in fractional coordinates, are Ca at (0.0000, 0.0000, 0.0000), Ca at (0.1655, 0.0000, 0.6650), Ca at (0.1716, 0.5000, 0.6714), Ho at (0.0000, 0.5000, 0.0000), In at (0.0000, 0.2590, 0.5000) and In at (0.1634, 0.2553, 0.1626).

Its calculated density is 5.18 g/cm³. For the total energy, the calculation gives -3.05 eV/atom. The density of states at the Fermi level comes out at 0.498 states/eV per atom.